Here is a geometry-optimized Hf2TaNb structure from the Alexandria database. Energies are from GGA-PBE.

Cell: 2.9876 2.9876 32.3283 Å, 90.00 90.00 120.00°
Element x y z (fractional)
1 Hf 0.0000 0.0000 0.0873
2 Hf 0.0000 0.0000 0.9127
3 Hf 0.3333 0.6667 0.5794
4 Hf 0.3333 0.6667 0.7539
5 Hf 0.6667 0.3333 0.2461
6 Hf 0.6667 0.3333 0.4206
7 Ta 0.0000 0.0000 0.0000
8 Ta 0.3333 0.6667 0.6667
9 Ta 0.6667 0.3333 0.3333
10 Nb 0.0000 0.0000 0.5000
11 Nb 0.3333 0.6667 0.1667
12 Nb 0.6667 0.3333 0.8333

Output
space group = R-3m
formation energy = 1.868 eV per formula unit
energy above the most stable polymorph in this dataset = 0.325 eV per atom